4
Lattice="5.618 0.000 0.000 2.809 4.865 0.000 2.809 1.622 3.981" Properties=species:S:1:pos:R:3 comment="AcEr2Rh GGA-PBE relaxed" ef_kj_per_mol_fu=13 spacegroup="R-3m, No. 166" pbc="T T T"
Er 2.809 1.622 1.296
Rh 0.000 0.000 0.000
Ac 5.618 3.243 1.991
Er 8.427 4.865 2.685